A plane-wave DFT calculation with GGA-PBE was carried out for LaTmTh after structural relaxation.

Results
Energy relative to the elements ... 0.724 eV per atom
Offset from the most stable computed form ... 0 meV per atom
Magnetization ... 0.0 μB/f.u.

Structure (CIF):
```
data_LaTmTh
_space_group_name_H-M_alt 'F -4 3 m'
_space_group_IT_number 216
_space_group_name_Hall 'F -4 2 3'
_cell_length_a 7.707
_cell_length_b 7.707
_cell_length_c 7.707
_cell_angle_alpha 90.00
_cell_angle_beta 90.00
_cell_angle_gamma 90.00
loop_
_atom_site_label
_atom_site_fract_x
_atom_site_fract_y
_atom_site_fract_z
_atom_site_occupancy
La1 0.000 0.000 0.000 1
Tm1 0.250 0.250 0.250 1
Th1 0.000 0.000 0.500 1
```